Arrangement A

Entry from Alexandria via LeMat-Bulk: an optimized crystal structure of CeLu2Th (PBE). Values from VASP.

Quantum ESPRESSO input file:
```
&SYSTEM
  ibrav = 0, nat = 4, ntyp = 3
/
ATOMIC_SPECIES
Ce 140.12 Ce.upf
Lu 174.97 Lu.upf
Th 232.04 Th.upf
ATOMIC_POSITIONS crystal
Ce 0.000 0.000 0.000
Lu 0.000 0.500 0.500
Lu 0.500 0.000 0.500
Th 0.500 0.500 0.000
CELL_PARAMETERS angstrom
4.970 0.000 0.000
0.000 4.970 0.000
0.000 0.000 4.896
```

=====

Arrangement B

Entry from Alexandria via LeMat-Bulk: an optimized crystal structure of CeLu2Th (PBE). Values from VASP.

Quantum ESPRESSO input file:
```
&SYSTEM
  ibrav = 0, nat = 4, ntyp = 3
/
ATOMIC_SPECIES
Ce 140.12 Ce.upf
Lu 174.97 Lu.upf
Th 232.04 Th.upf
ATOMIC_POSITIONS crystal
Ce 0.000 0.000 0.000
Lu 0.250 0.250 0.250
Lu 0.750 0.750 0.750
Th 0.500 0.500 0.500
CELL_PARAMETERS angstrom
0.000 3.946 3.946
3.946 0.000 3.946
3.946 3.946 0.000
```

=====

arrangement A is the most stable structure; the next one sits 7.8 kJ/mol of atoms above it.

=====

Arrangement A

Entry from Alexandria via LeMat-Bulk: an optimized crystal structure of CeLuTh2 (PBE). Values from VASP.

Quantum ESPRESSO input file:
```
&SYSTEM
  ibrav = 0, nat = 4, ntyp = 3
/
ATOMIC_SPECIES
Ce 140.12 Ce.upf
Lu 174.97 Lu.upf
Th 232.04 Th.upf
ATOMIC_POSITIONS crystal
Ce 0.000 0.000 0.000
Lu 0.000 0.000 0.500
Th 0.500 0.500 0.247
Th 0.500 0.500 0.753
CELL_PARAMETERS angstrom
3.526 0.000 0.000
0.000 3.526 0.000
0.000 0.000 9.792
```

=====

Arrangement B

Entry from Alexandria via LeMat-Bulk: an optimized crystal structure of CeLuTh2 (PBE). Values from VASP.

Quantum ESPRESSO input file:
```
&SYSTEM
  ibrav = 0, nat = 4, ntyp = 3
/
ATOMIC_SPECIES
Ce 140.12 Ce.upf
Lu 174.97 Lu.upf
Th 232.04 Th.upf
ATOMIC_POSITIONS crystal
Ce 0.000 0.000 0.000
Lu 0.500 0.500 0.000
Th 0.000 0.500 0.500
Th 0.500 0.000 0.500
CELL_PARAMETERS angstrom
5.006 0.000 0.000
0.000 5.006 0.000
0.000 0.000 4.883
```

=====

arrangement A is the most stable structure; the next one sits 3.2 kJ/mol of atoms above it.

=====

Arrangement A

Entry from Alexandria via LeMat-Bulk: an optimized crystal structure of CeLuTh (PBE). Values from VASP.

Quantum ESPRESSO input file:
```
&SYSTEM
  ibrav = 0, nat = 3, ntyp = 3
/
ATOMIC_SPECIES
Ce 140.12 Ce.upf
Lu 174.97 Lu.upf
Th 232.04 Th.upf
ATOMIC_POSITIONS crystal
Ce 0.000 0.000 0.000
Lu 0.333 0.667 0.661
Th 0.667 0.333 0.325
CELL_PARAMETERS angstrom
3.497 0.000 0.000
-1.749 3.029 0.000
0.000 0.000 8.518
```

=====

Arrangement B

Entry from Alexandria via LeMat-Bulk: an optimized crystal structure of CeLuTh (PBE). Values from VASP.

Quantum ESPRESSO input file:
```
&SYSTEM
  ibrav = 0, nat = 3, ntyp = 3
/
ATOMIC_SPECIES
Ce 140.12 Ce.upf
Lu 174.97 Lu.upf
Th 232.04 Th.upf
ATOMIC_POSITIONS crystal
Ce 0.000 0.000 0.000
Lu 0.329 0.329 0.000
Th 0.662 0.662 0.000
CELL_PARAMETERS angstrom
-1.760 1.760 7.309
1.760 -1.760 7.309
1.760 1.760 -7.309
```

=====

arrangement A is the most stable structure; the next one sits 1.1 kJ/mol of atoms above it.

=====

Arrangement A

Entry from Alexandria via LeMat-Bulk: an optimized crystal structure of Ce2LuTi (PBE). Values from VASP.

Quantum ESPRESSO input file:
```
&SYSTEM
  ibrav = 0, nat = 4, ntyp = 3
/
ATOMIC_SPECIES
Ce 140.12 Ce.upf
Lu 174.97 Lu.upf
Ti 47.87 Ti.upf
ATOMIC_POSITIONS crystal
Ce 0.250 0.250 0.250
Ce 0.750 0.750 0.750
Lu 0.000 0.000 0.000
Ti 0.500 0.500 0.500
CELL_PARAMETERS angstrom
0.000 3.756 3.756
3.756 0.000 3.756
3.756 3.756 0.000
```

=====

Arrangement B

Entry from Alexandria via LeMat-Bulk: an optimized crystal structure of Ce2LuTi (PBE). Values from VASP.

Quantum ESPRESSO input file:
```
&SYSTEM
  ibrav = 0, nat = 4, ntyp = 3
/
ATOMIC_SPECIES
Ce 140.12 Ce.upf
Lu 174.97 Lu.upf
Ti 47.87 Ti.upf
ATOMIC_POSITIONS crystal
Ce 0.000 0.000 0.228
Ce 0.000 0.000 0.772
Lu 0.500 0.500 0.500
Ti 0.500 0.500 0.000
CELL_PARAMETERS angstrom
3.236 0.000 0.000
0.000 3.236 0.000
0.000 0.000 9.680
```

=====

Arrangement C

Entry from Alexandria via LeMat-Bulk: an optimized crystal structure of Ce2LuTi (PBE). Values from VASP.

Quantum ESPRESSO input file:
```
&SYSTEM
  ibrav = 0, nat = 4, ntyp = 3
/
ATOMIC_SPECIES
Ce 140.12 Ce.upf
Lu 174.97 Lu.upf
Ti 47.87 Ti.upf
ATOMIC_POSITIONS crystal
Ce 0.000 0.500 0.000
Ce 0.500 0.000 0.000
Lu 0.000 0.000 0.500
Ti 0.500 0.500 0.500
CELL_PARAMETERS angstrom
4.562 0.000 0.000
0.000 4.562 0.000
0.000 0.000 4.858
```

=====

arrangement B is the most stable structure; the next one sits 2.8 kJ/mol of atoms above it.

=====

Arrangement A

Entry from Alexandria via LeMat-Bulk: an optimized crystal structure of CeLu2Ti (PBE). Values from VASP.

Quantum ESPRESSO input file:
```
&SYSTEM
  ibrav = 0, nat = 4, ntyp = 3
/
ATOMIC_SPECIES
Ce 140.12 Ce.upf
Lu 174.97 Lu.upf
Ti 47.87 Ti.upf
ATOMIC_POSITIONS crystal
Ce 0.000 0.000 0.000
Lu 0.000 0.500 0.500
Lu 0.500 0.000 0.500
Ti 0.500 0.500 0.000
CELL_PARAMETERS angstrom
4.635 0.000 0.000
0.000 4.635 0.000
0.000 0.000 4.790
```

=====

Arrangement B

Entry from Alexandria via LeMat-Bulk: an optimized crystal structure of CeLu2Ti (PBE). Values from VASP.

Quantum ESPRESSO input file:
```
&SYSTEM
  ibrav = 0, nat = 4, ntyp = 3
/
ATOMIC_SPECIES
Ce 140.12 Ce.upf
Lu 174.97 Lu.upf
Ti 47.87 Ti.upf
ATOMIC_POSITIONS crystal
Ce 0.000 0.000 0.000
Lu 0.500 0.500 0.283
Lu 0.500 0.500 0.717
Ti 0.000 0.000 0.500
CELL_PARAMETERS angstrom
3.266 0.000 0.000
0.000 3.266 0.000
0.000 0.000 9.767
```

=====

arrangement B is the most stable structure; the next one sits 1.3 kJ/mol of atoms above it.

=====

Arrangement A

Entry from Alexandria via LeMat-Bulk: an optimized crystal structure of CeLuTl2 (PBE). Values from VASP.

Quantum ESPRESSO input file:
```
&SYSTEM
  ibrav = 0, nat = 4, ntyp = 3
/
ATOMIC_SPECIES
Ce 140.12 Ce.upf
Lu 174.97 Lu.upf
Tl 204.38 Tl.upf
ATOMIC_POSITIONS crystal
Ce 0.000 0.000 0.000
Lu 0.500 0.500 0.500
Tl 0.246 0.246 0.246
Tl 0.754 0.754 0.754
CELL_PARAMETERS angstrom
1.800 1.039 10.246
-1.800 1.039 10.246
0.000 -2.079 10.246
```

=====

Arrangement B

Entry from Alexandria via LeMat-Bulk: an optimized crystal structure of CeLuTl2 (PBE). Values from VASP.

Quantum ESPRESSO input file:
```
&SYSTEM
  ibrav = 0, nat = 4, ntyp = 3
/
ATOMIC_SPECIES
Ce 140.12 Ce.upf
Lu 174.97 Lu.upf
Tl 204.38 Tl.upf
ATOMIC_POSITIONS crystal
Ce 0.000 0.000 0.000
Lu 0.500 0.500 0.500
Tl 0.250 0.250 0.250
Tl 0.750 0.750 0.750
CELL_PARAMETERS angstrom
0.000 3.821 3.821
3.821 0.000 3.821
3.821 3.821 0.000
```

=====

Arrangement C

Entry from Alexandria via LeMat-Bulk: an optimized crystal structure of CeLuTl2 (PBE). Values from VASP.

Quantum ESPRESSO input file:
```
&SYSTEM
  ibrav = 0, nat = 4, ntyp = 3
/
ATOMIC_SPECIES
Ce 140.12 Ce.upf
Lu 174.97 Lu.upf
Tl 204.38 Tl.upf
ATOMIC_POSITIONS crystal
Ce 0.000 0.000 0.000
Lu 0.500 0.500 0.000
Tl 0.000 0.500 0.500
Tl 0.500 0.000 0.500
CELL_PARAMETERS angstrom
4.969 0.000 0.000
0.000 4.969 0.000
0.000 0.000 4.492
```

=====

Arrangement D

Entry from Alexandria via LeMat-Bulk: an optimized crystal structure of CeLuTl2 (PBE). Values from VASP.

Quantum ESPRESSO input file:
```
&SYSTEM
  ibrav = 0, nat = 4, ntyp = 3
/
ATOMIC_SPECIES
Ce 140.12 Ce.upf
Lu 174.97 Lu.upf
Tl 204.38 Tl.upf
ATOMIC_POSITIONS crystal
Ce 0.000 0.000 0.000
Lu 0.000 0.000 0.500
Tl 0.500 0.500 0.262
Tl 0.500 0.500 0.738
CELL_PARAMETERS angstrom
3.577 0.000 0.000
0.000 3.577 0.000
0.000 0.000 8.586
```

=====

arrangement D is the most stable structure; the next one sits 1.3 kJ/mol of atoms above it.

=====

Arrangement A

Entry from Alexandria via LeMat-Bulk: an optimized crystal structure of CeTmLu2 (PBE). Values from VASP.

Quantum ESPRESSO input file:
```
&SYSTEM
  ibrav = 0, nat = 4, ntyp = 3
/
ATOMIC_SPECIES
Ce 140.12 Ce.upf
Tm 168.93 Tm.upf
Lu 174.97 Lu.upf
ATOMIC_POSITIONS crystal
Ce 0.000 0.000 0.000
Tm 0.500 0.500 0.000
Lu 0.000 0.500 0.500
Lu 0.500 0.000 0.500
CELL_PARAMETERS angstrom
4.921 0.000 0.000
0.000 4.921 0.000
0.000 0.000 4.895
```

=====

Arrangement B

Entry from Alexandria via LeMat-Bulk: an optimized crystal structure of CeTmLu2 (PBE). Values from VASP.

Quantum ESPRESSO input file:
```
&SYSTEM
  ibrav = 0, nat = 4, ntyp = 3
/
ATOMIC_SPECIES
Ce 140.12 Ce.upf
Tm 168.93 Tm.upf
Lu 174.97 Lu.upf
ATOMIC_POSITIONS crystal
Ce 0.000 0.000 0.000
Tm 0.500 0.500 0.500
Lu 0.250 0.250 0.250
Lu 0.750 0.750 0.750
CELL_PARAMETERS angstrom
0.000 3.925 3.925
3.925 0.000 3.925
3.925 3.925 0.000
```

=====

arrangement A is the most stable structure; the next one sits 5.9 kJ/mol of atoms above it.

=====

Arrangement A

Entry from Alexandria via LeMat-Bulk: an optimized crystal structure of Ce2TmLu (PBE). Values from VASP.

Quantum ESPRESSO input file:
```
&SYSTEM
  ibrav = 0, nat = 4, ntyp = 3
/
ATOMIC_SPECIES
Ce 140.12 Ce.upf
Tm 168.93 Tm.upf
Lu 174.97 Lu.upf
ATOMIC_POSITIONS crystal
Ce 0.250 0.250 0.250
Ce 0.750 0.750 0.750
Tm 0.500 0.500 0.500
Lu 0.000 0.000 0.000
CELL_PARAMETERS angstrom
1.725 0.996 11.330
-1.725 0.996 11.330
0.000 -1.992 11.330
```

=====

Arrangement B

Entry from Alexandria via LeMat-Bulk: an optimized crystal structure of Ce2TmLu (PBE). Values from VASP.

Quantum ESPRESSO input file:
```
&SYSTEM
  ibrav = 0, nat = 4, ntyp = 3
/
ATOMIC_SPECIES
Ce 140.12 Ce.upf
Tm 168.93 Tm.upf
Lu 174.97 Lu.upf
ATOMIC_POSITIONS crystal
Ce 0.000 0.000 0.249
Ce 0.000 0.000 0.751
Tm 0.500 0.500 0.500
Lu 0.500 0.500 0.000
CELL_PARAMETERS angstrom
3.455 0.000 0.000
0.000 3.455 0.000
0.000 0.000 9.888
```

=====

arrangement A is the most stable structure; the next one sits 1.9 kJ/mol of atoms above it.

=====

Arrangement A

Entry from Alexandria via LeMat-Bulk: an optimized crystal structure of Ce2TmLu (PBE). Values from VASP.

Quantum ESPRESSO input file:
```
&SYSTEM
  ibrav = 0, nat = 4, ntyp = 3
/
ATOMIC_SPECIES
Ce 140.12 Ce.upf
Tm 168.93 Tm.upf
Lu 174.97 Lu.upf
ATOMIC_POSITIONS crystal
Ce 0.000 0.500 0.000
Ce 0.500 0.000 0.000
Tm 0.000 0.000 0.500
Lu 0.500 0.500 0.500
CELL_PARAMETERS angstrom
4.889 0.000 0.000
0.000 4.889 0.000
0.000 0.000 4.937
```

=====

Arrangement B

Entry from Alexandria via LeMat-Bulk: an optimized crystal structure of Ce2TmLu (PBE). Values from VASP.

Quantum ESPRESSO input file:
```
&SYSTEM
  ibrav = 0, nat = 4, ntyp = 3
/
ATOMIC_SPECIES
Ce 140.12 Ce.upf
Tm 168.93 Tm.upf
Lu 174.97 Lu.upf
ATOMIC_POSITIONS crystal
Ce 0.250 0.250 0.250
Ce 0.750 0.750 0.750
Tm 0.000 0.000 0.000
Lu 0.500 0.500 0.500
CELL_PARAMETERS angstrom
0.000 3.937 3.937
3.937 0.000 3.937
3.937 3.937 0.000
```

=====

arrangement A is the most stable structure; the next one sits 8.6 kJ/mol of atoms above it.

=====

Arrangement A

Entry from Alexandria via LeMat-Bulk: an optimized crystal structure of CeTm2Lu (PBE). Values from VASP.

Quantum ESPRESSO input file:
```
&SYSTEM
  ibrav = 0, nat = 4, ntyp = 3
/
ATOMIC_SPECIES
Ce 140.12 Ce.upf
Tm 168.93 Tm.upf
Lu 174.97 Lu.upf
ATOMIC_POSITIONS crystal
Ce 0.000 0.000 0.000
Tm 0.250 0.250 0.250
Tm 0.750 0.750 0.750
Lu 0.500 0.500 0.500
CELL_PARAMETERS angstrom
0.000 3.939 3.939
3.939 0.000 3.939
3.939 3.939 0.000
```

=====

Arrangement B

Entry from Alexandria via LeMat-Bulk: an optimized crystal structure of CeTm2Lu (PBE). Values from VASP.

Quantum ESPRESSO input file:
```
&SYSTEM
  ibrav = 0, nat = 4, ntyp = 3
/
ATOMIC_SPECIES
Ce 140.12 Ce.upf
Tm 168.93 Tm.upf
Lu 174.97 Lu.upf
ATOMIC_POSITIONS crystal
Ce 0.000 0.000 0.000
Tm 0.000 0.500 0.500
Tm 0.500 0.000 0.500
Lu 0.500 0.500 0.000
CELL_PARAMETERS angstrom
4.916 0.000 0.000
0.000 4.916 0.000
0.000 0.000 4.934
```

=====

arrangement B is the most stable structure; the next one sits 8.5 kJ/mol of atoms above it.

=====

Arrangement A

Entry from Alexandria via LeMat-Bulk: an optimized crystal structure of CeLu2Zn (PBE). Values from VASP.

Quantum ESPRESSO input file:
```
&SYSTEM
  ibrav = 0, nat = 4, ntyp = 3
/
ATOMIC_SPECIES
Ce 140.12 Ce.upf
Lu 174.97 Lu.upf
Zn 65.41 Zn.upf
ATOMIC_POSITIONS crystal
Ce 0.000 0.000 0.000
Lu 0.000 0.500 0.500
Lu 0.500 0.000 0.500
Zn 0.500 0.500 0.000
CELL_PARAMETERS angstrom
4.699 0.000 0.000
0.000 4.699 0.000
0.000 0.000 4.616
```

=====

Arrangement B

Entry from Alexandria via LeMat-Bulk: an optimized crystal structure of CeLu2Zn (PBE). Values from VASP.

Quantum ESPRESSO input file:
```
&SYSTEM
  ibrav = 0, nat = 4, ntyp = 3
/
ATOMIC_SPECIES
Ce 140.12 Ce.upf
Lu 174.97 Lu.upf
Zn 65.41 Zn.upf
ATOMIC_POSITIONS crystal
Ce 0.000 0.000 0.000
Lu 0.500 0.500 0.293
Lu 0.500 0.500 0.707
Zn 0.000 0.000 0.500
CELL_PARAMETERS angstrom
3.442 0.000 0.000
0.000 3.442 0.000
0.000 0.000 8.661
```

=====

arrangement B is the most stable structure; the next one sits 13.0 kJ/mol of atoms above it.

=====

Arrangement A

Entry from Alexandria via LeMat-Bulk: an optimized crystal structure of Ce2LuZr (PBE). Values from VASP.

Quantum ESPRESSO input file:
```
&SYSTEM
  ibrav = 0, nat = 4, ntyp = 3
/
ATOMIC_SPECIES
Ce 140.12 Ce.upf
Lu 174.97 Lu.upf
Zr 91.22 Zr.upf
ATOMIC_POSITIONS crystal
Ce 0.000 0.000 0.239
Ce 0.000 0.000 0.761
Lu 0.500 0.500 0.500
Zr 0.500 0.500 0.000
CELL_PARAMETERS angstrom
3.288 0.000 0.000
0.000 3.288 0.000
0.000 0.000 10.024
```

=====

Arrangement B

Entry from Alexandria via LeMat-Bulk: an optimized crystal structure of Ce2LuZr (PBE). Values from VASP.

Quantum ESPRESSO input file:
```
&SYSTEM
  ibrav = 0, nat = 4, ntyp = 3
/
ATOMIC_SPECIES
Ce 140.12 Ce.upf
Lu 174.97 Lu.upf
Zr 91.22 Zr.upf
ATOMIC_POSITIONS crystal
Ce 0.250 0.250 0.250
Ce 0.750 0.750 0.750
Lu 0.000 0.000 0.000
Zr 0.500 0.500 0.500
CELL_PARAMETERS angstrom
0.000 3.812 3.812
3.812 0.000 3.812
3.812 3.812 0.000
```

=====

arrangement A is the most stable structure; the next one sits 10.7 kJ/mol of atoms above it.